The following is a DFT calculation (PBE) of a geometry-optimized Pr2LuAg structure.

Values from the calculation:
density: 7.8 g cm⁻³
calculated total energy: -4.32 eV/atom
energy above the most stable polymorph in this dataset: 0 kJ/mol of formula units
calculated volume: 30.195 Å³ per atom
formation enthalpy at 0 K: -0.08 eV per atom

Cell lengths 3.7625, 3.7625, 8.5317 Å; angles 90.00, 90.00, 90.00 degrees
Closest atoms and distances in Å follow each position.
Space group P4/mmm (No. 123)
Unique sites:
Pr 0.0000 0.0000 0.2238  4 Ag 3.27, 4 Lu 3.55
Lu 0.5000 0.5000 0.5000  8 Pr 3.55, 4 Lu 3.76
Ag 0.5000 0.5000 0.0000  8 Pr 3.27